Computed, not measured: InSnN2 after structural relaxation at the GGA-PBE level of DFT.

Geometry as CIF:
```
data_InSnN2
_chemical_formula_sum 'In3 Sn3 N6'
_space_group_name_H-M_alt 'R -3 m'
_space_group_IT_number 166
_space_group_name_Hall '-R 3 2"'
_cell_length_a 3.4822
_cell_length_b 3.4822
_cell_length_c 18.6856
_cell_angle_alpha 90.00
_cell_angle_beta 90.00
_cell_angle_gamma 120.00
loop_
_atom_site_label
_atom_site_fract_x
_atom_site_fract_y
_atom_site_fract_z
In1 0.0000 0.0000 0.0000
Sn1 0.0000 0.0000 0.5000
N1 0.0000 0.0000 0.3923
```

Summary:
ΔE to the lowest computed polymorph: 130 kJ/mol of formula units
size of the total moment: 0.000 μB/f.u.
uncorrected formation energy: 617.7 meV per atom
final energy: -62.8 eV/cell